This record from Alexandria describes crystalline CrReHgH2 at its relaxed geometry. The functional is PBE.

a b c (Å): 3.7284 3.7284 5.5072
angles (deg): 90.00 90.00 90.00
Closest atoms and distances in Å follow each position.
Element x y z (fractional)
Cr1 0.0000 0.0000 0.0000  4 H 1.86
Re1 0.5000 0.5000 0.5000  4 Hg 2.64
Hg1 0.0000 0.0000 0.5000  4 Re 2.64, 2 Cr 2.75
H1 0.0000 0.5000 0.0000  2 Cr 1.86
H2 0.5000 0.0000 0.0000  2 Cr 1.86

Calculated values
E_tot, eV/atom: -4.48
SG: P4/mmm (123)
M_tot, μB per formula unit: 5.85



This record from Alexandria describes crystalline CrHgSb2H at its relaxed geometry. The functional is PBE.

a b c (Å): 5.5426 5.5426 5.3728
angles (deg): 90.00 90.00 90.00
Closest atoms and distances in Å follow each position.
Element x y z (fractional)
Cr1 0.0000 0.0000 0.0000  2 Hg 2.69
Hg1 0.0000 0.0000 0.5000  2 Cr 2.69, 4 Sb 2.77
Sb1 0.0000 0.5000 0.5000  2 Hg 2.77
Sb2 0.5000 0.0000 0.5000  2 Hg 2.77
H1 0.5000 0.5000 0.0000  8 Sb 3.86, 4 Cr 3.92

Calculated values
E_tot, eV/atom: -2.95
SG: P4/mmm (123)
M_tot, μB per formula unit: 3.27



This record from Alexandria describes crystalline CrHgSb2H at its relaxed geometry. The functional is PBE.

a b c (Å): 5.4934 5.4934 3.3870
angles (deg): 90.00 90.00 90.00
Closest atoms and distances in Å follow each position.
Element x y z (fractional)
Cr1 0.0000 0.0000 0.0000  2 H 1.69
Hg1 0.5000 0.5000 0.5000  8 Sb 3.23, 2 Hg 3.39
Sb1 0.0000 0.5000 0.0000  2 Cr 2.75
Sb2 0.5000 0.0000 0.0000  2 Cr 2.75
H1 0.0000 0.0000 0.5000  2 Cr 1.69

Calculated values
E_tot, eV/atom: -4.05
SG: P4/mmm (123)
M_tot, μB per formula unit: 2.92



This record from Alexandria describes crystalline Ti2CrHgH at its relaxed geometry. The functional is PBE.

a b c (Å): 4.1237 4.1237 3.9502
angles (deg): 90.00 90.00 90.00
Closest atoms and distances in Å follow each position.
Element x y z (fractional)
Ti1 0.0000 0.5000 0.0000  2 H 2.06
Ti2 0.5000 0.0000 0.0000  2 H 2.06
Cr1 0.0000 0.0000 0.5000  2 H 1.98
Hg1 0.5000 0.5000 0.5000  8 Ti 2.86, 4 Cr 2.92
H1 0.0000 0.0000 0.0000  2 Cr 1.98, 4 Ti 2.06

Calculated values
E_tot, eV/atom: -5.85
SG: P4/mmm (123)
M_tot, μB per formula unit: 1.49



This record from Alexandria describes crystalline Zr2CrHgH at its relaxed geometry. The functional is PBE.

a b c (Å): 4.5792 4.5792 3.7510
angles (deg): 90.00 90.00 90.00
Closest atoms and distances in Å follow each position.
Element x y z (fractional)
Zr1 0.0000 0.5000 0.0000  2 H 2.29
Zr2 0.5000 0.0000 0.0000  2 H 2.29
Cr1 0.0000 0.0000 0.5000  2 H 1.88
Hg1 0.5000 0.5000 0.5000  8 Zr 2.96, 4 Cr 3.24
H1 0.0000 0.0000 0.0000  2 Cr 1.88

Calculated values
E_tot, eV/atom: -6.11
SG: P4/mmm (123)
M_tot, μB per formula unit: 0.00



This record from Alexandria describes crystalline Ho12Cr3H5 at its relaxed geometry. The functional is PBE.

a b c (Å): 13.1525 13.1525 13.1525
angles (deg): 109.47 109.47 109.47
Closest atoms and distances in Å follow each position.
Element x y z (fractional)
Ho1 0.0201 0.2104 0.1167  1 H 2.16
Ho2 0.0201 0.3097 0.9033  1 H 2.16
Ho3 0.0937 0.7104 0.6903  1 H 2.16
Ho4 0.0937 0.8833 0.4033  1 H 2.16
Ho5 0.0967 0.6167 0.4063  1 H 2.16
Ho6 0.0967 0.9799 0.6903  1 H 2.16
Ho7 0.1167 0.0201 0.2104  1 H 2.16
Ho8 0.1167 0.5967 0.9063  1 H 2.16
Ho9 0.1903 0.2104 0.5937  1 H 2.16
Ho10 0.1903 0.4799 0.5967  1 H 2.16
Ho11 0.2104 0.1167 0.0201  1 H 2.16
Ho12 0.2104 0.5937 0.1903  1 H 2.16
Ho13 0.2896 0.3097 0.9063  1 H 2.16
Ho14 0.2896 0.4799 0.3833  1 H 2.16
Ho15 0.3097 0.9033 0.0201  1 H 2.16
Ho16 0.3097 0.9063 0.2896  1 H 2.16
Ho17 0.3833 0.2896 0.4799  1 H 2.16
Ho18 0.3833 0.5937 0.9033  1 H 2.16
Ho19 0.4033 0.0937 0.8833  1 H 2.16
Ho20 0.4033 0.8097 0.5201  1 H 2.16
Ho21 0.4063 0.0967 0.6167  1 H 2.16
Ho22 0.4063 0.8097 0.7896  1 H 2.16
Ho23 0.4799 0.3833 0.2896  1 H 2.16
Ho24 0.4799 0.5967 0.1903  1 H 2.16
Ho25 0.5201 0.4033 0.8097  1 H 2.16
Ho26 0.5201 0.6167 0.7104  1 H 2.16
Ho27 0.5937 0.1903 0.2104  1 H 2.16
Ho28 0.5937 0.9033 0.3833  1 H 2.16
Ho29 0.5967 0.1903 0.4799  1 H 2.16
Ho30 0.5967 0.9063 0.1167  1 H 2.16
Ho31 0.6167 0.4063 0.0967  1 H 2.16
Ho32 0.6167 0.7104 0.5201  1 H 2.16
Ho33 0.6903 0.0937 0.7104  1 H 2.16
Ho34 0.6903 0.0967 0.9799  1 H 2.16
Ho35 0.7104 0.5201 0.6167  1 H 2.16
Ho36 0.7104 0.6903 0.0937  1 H 2.16
Ho37 0.7896 0.4063 0.8097  1 H 2.16
Ho38 0.7896 0.8833 0.9799  1 H 2.16
Ho39 0.8097 0.5201 0.4033  1 H 2.16
Ho40 0.8097 0.7896 0.4063  1 H 2.16
Ho41 0.8833 0.4033 0.0937  1 H 2.16
Ho42 0.8833 0.9799 0.7896  1 H 2.16
Ho43 0.9033 0.0201 0.3097  1 H 2.16
Ho44 0.9033 0.3833 0.5937  1 H 2.16
Ho45 0.9063 0.1167 0.5967  1 H 2.16
Ho46 0.9063 0.2896 0.3097  1 H 2.16
Ho47 0.9799 0.6903 0.0967  1 H 2.16
Ho48 0.9799 0.7896 0.8833  1 H 2.16
Cr1 0.1250 0.2500 0.3750  8 Ho 2.99-3.02
Cr2 0.1250 0.3750 0.7500  8 Ho 2.99-3.02
Cr3 0.2500 0.3750 0.1250  8 Ho 2.99-3.02
Cr4 0.2500 0.8750 0.6250  8 Ho 2.99-3.02
Cr5 0.3750 0.1250 0.2500  8 Ho 2.99-3.02
Cr6 0.3750 0.7500 0.1250  8 Ho 2.99-3.02
Cr7 0.6250 0.2500 0.8750  8 Ho 2.99-3.02
Cr8 0.6250 0.8750 0.7500  8 Ho 2.99-3.02
Cr9 0.7500 0.1250 0.3750  8 Ho 2.99-3.02
Cr10 0.7500 0.6250 0.8750  8 Ho 2.99-3.02
Cr11 0.8750 0.6250 0.2500  8 Ho 2.99-3.02
Cr12 0.8750 0.7500 0.6250  8 Ho 2.99-3.02
H1 0.0000 0.0000 0.0000  6 Ho 2.55
H2 0.0000 0.0000 0.5000  6 Ho 2.55
H3 0.0000 0.5000 0.0000  6 Ho 2.55
H4 0.0000 0.5000 0.5000  6 Ho 2.55
H5 0.1250 0.7500 0.8750  4 Ho 2.16
H6 0.1250 0.8750 0.2500  4 Ho 2.16
H7 0.2500 0.1250 0.8750  4 Ho 2.16
H8 0.2500 0.6250 0.3750  4 Ho 2.16
H9 0.3750 0.2500 0.6250  4 Ho 2.16
H10 0.3750 0.6250 0.7500  4 Ho 2.16
H11 0.5000 0.0000 0.0000  6 Ho 2.55
H12 0.5000 0.0000 0.5000  6 Ho 2.55
H13 0.5000 0.5000 0.0000  6 Ho 2.55
H14 0.5000 0.5000 0.5000  6 Ho 2.55
H15 0.6250 0.3750 0.2500  4 Ho 2.16
H16 0.6250 0.7500 0.3750  4 Ho 2.16
H17 0.7500 0.3750 0.6250  4 Ho 2.16
H18 0.7500 0.8750 0.1250  4 Ho 2.16
H19 0.8750 0.1250 0.7500  4 Ho 2.16
H20 0.8750 0.2500 0.1250  4 Ho 2.16

Calculated values
E_tot, eV/atom: -5.02
SG: Ia-3d (230)
M_tot, μB per formula unit: 8.11



This record from Alexandria describes crystalline HoCr2H8 at its relaxed geometry. The functional is PBE.

a b c (Å): 4.0741 4.0741 4.9524
angles (deg): 90.00 90.00 90.00
Closest atoms and distances in Å follow each position.
Element x y z (fractional)
Ho1 0.0000 0.0000 0.0000  8 H 2.17
Cr1 0.0000 0.5000 0.5000  8 H 1.76
Cr2 0.5000 0.0000 0.5000  8 H 1.76
H1 0.2746 0.2746 0.2984  2 Cr 1.76, 2 H 1.84
H2 0.2746 0.2746 0.7016  2 Cr 1.76, 2 H 1.84
H3 0.2746 0.7254 0.2984  2 Cr 1.76, 2 H 1.84
H4 0.2746 0.7254 0.7016  2 Cr 1.76, 2 H 1.84
H5 0.7254 0.2746 0.2984  2 Cr 1.76, 2 H 1.84
H6 0.7254 0.2746 0.7016  2 Cr 1.76, 2 H 1.84
H7 0.7254 0.7254 0.2984  2 Cr 1.76, 2 H 1.84
H8 0.7254 0.7254 0.7016  2 Cr 1.76, 2 H 1.84

Calculated values
E_tot, eV/atom: -4.73
SG: P4/mmm (123)
M_tot, μB per formula unit: 2.56



This record from Alexandria describes crystalline CrHI3 at its relaxed geometry. The functional is PBE.

a b c (Å): 5.0729 5.0729 5.0729
angles (deg): 90.00 90.00 90.00
Closest atoms and distances in Å follow each position.
Element x y z (fractional)
Cr1 0.0000 0.0000 0.0000  12 I 3.59
H1 0.5000 0.5000 0.5000  6 I 2.54
I1 0.0000 0.5000 0.5000  2 H 2.54
I2 0.5000 0.0000 0.5000  2 H 2.54
I3 0.5000 0.5000 0.0000  2 H 2.54

Calculated values
E_tot, eV/atom: -2.67
SG: Pm-3m (221)
M_tot, μB per formula unit: 3.85



Copy entry 8 word for word.
This record from Alexandria describes crystalline CrHI3 at its relaxed geometry. The functional is PBE.

a b c (Å): 5.0729 5.0729 5.0729
angles (deg): 90.00 90.00 90.00
Closest atoms and distances in Å follow each position.
Element x y z (fractional)
Cr1 0.0000 0.0000 0.0000  12 I 3.59
H1 0.5000 0.5000 0.5000  6 I 2.54
I1 0.0000 0.5000 0.5000  2 H 2.54
I2 0.5000 0.0000 0.5000  2 H 2.54
I3 0.5000 0.5000 0.0000  2 H 2.54

Calculated values
E_tot, eV/atom: -2.67
SG: Pm-3m (221)
M_tot, μB per formula unit: 3.85



Question: Which of these has the lowest M_tot?
Answer: Zr2CrHgH



Question: What is the formula in the sixth record?
Answer: Ho12Cr3H5



Question: Which formula does entry 4 have?
Answer: Ti2CrHgH